Record 1
The following is a PBE calculation of crystalline YPH4O6 at its relaxed geometry, from Alexandria via LeMat-Bulk.

Unit cell a=8.1364 b=8.1364 c=5.6090 alpha=80.58 beta=80.58 gamma=134.87
Last column: nearest neighbours and their distance in Å.
Fractional positions:
Y  0.8300  0.1700  0.7500  8 O 2.29-2.49
Y  0.1700  0.8300  0.2500  8 O 2.29-2.49
P  0.3313  0.6687  0.7500  4 O 1.55
P  0.6687  0.3313  0.2500  4 O 1.55
H  0.6700  0.8420  0.2677  1 O 1.00
H  0.1580  0.3300  0.2323  1 O 1.00
H  0.3300  0.1580  0.7323  1 O 1.00
H  0.8420  0.6700  0.7677  1 O 1.00
H  0.7512  0.7575  0.0878  1 O 0.99
H  0.2425  0.2488  0.4122  1 O 0.99
H  0.2488  0.2425  0.9122  1 O 0.99
H  0.7575  0.7512  0.5878  1 O 0.99
O  0.1673  0.3909  0.9185  1 P 1.55, 1 H 1.72
O  0.6091  0.8327  0.5815  1 P 1.55, 1 H 1.72
O  0.8327  0.6091  0.0815  1 P 1.55, 1 H 1.72
O  0.3909  0.1673  0.4185  1 P 1.55, 1 H 1.72
O  0.1859  0.6405  0.5802  1 P 1.55
O  0.3595  0.8141  0.9198  1 P 1.55
O  0.8141  0.3595  0.4198  1 P 1.55
O  0.6405  0.1859  0.0802  1 P 1.55
O  0.7173  0.8535  0.0848  2 H 0.99-1.00
O  0.1465  0.2827  0.4152  2 H 0.99-1.00
O  0.2827  0.1465  0.9152  2 H 0.99-1.00
O  0.8535  0.7173  0.5848  2 H 0.99-1.00

- Total DFT energy (no corrections): -6.612 eV per atom
- Magnetic moment: 0.00 μB per cell
- Space group: C2/c

Record 2
The following is a PBE calculation of crystalline YP2HO at its relaxed geometry, from Alexandria via LeMat-Bulk.

Unit cell a=3.4280 b=3.4280 c=5.5877 alpha=90.00 beta=90.00 gamma=90.00
Last column: nearest neighbours and their distance in Å.
Fractional positions:
Y  0.5000  0.5000  0.5000  4 O 2.42
P  0.0000  0.5000  0.0000  2 H 1.71
P  0.5000  0.0000  0.0000  2 H 1.71
O  0.0000  0.0000  0.5000  4 Y 2.42
H  0.0000  0.0000  0.0000  4 P 1.71

- Total DFT energy (no corrections): -5.888 eV per atom
- E above lowest polymorph: 0.0 meV/atom
- Magnetic moment: 0.00 μB per cell
- Space group: P4/mmm

Record 3
The following is a PBE calculation of crystalline YP2HO at its relaxed geometry, from Alexandria via LeMat-Bulk.

Unit cell a=5.5296 b=5.5296 c=4.2813 alpha=90.00 beta=90.00 gamma=90.00
Last column: nearest neighbours and their distance in Å.
Fractional positions:
Y  0.0000  0.0000  0.0000  2 O 2.14
P  0.0000  0.5000  0.0000  2 Y 2.76
P  0.5000  0.0000  0.0000  2 Y 2.76
O  0.0000  0.0000  0.5000  2 Y 2.14
H  0.5000  0.5000  0.5000  8 P 3.50, 4 O 3.91

- Total DFT energy (no corrections): -4.544 eV per atom
- E above lowest polymorph: 1343.7 meV/atom
- Magnetic moment: 2.06 μB per cell
- Space group: P4/mmm

Record 4
The following is a PBE calculation of crystalline Zn6P4H14O23 at its relaxed geometry, from Alexandria via LeMat-Bulk.

Unit cell a=8.3771 b=9.6928 c=12.3160 alpha=72.05 beta=82.22 gamma=81.05
Last column: nearest neighbours and their distance in Å.
Fractional positions:
Zn  0.9680  0.6018  0.8767  6 O 2.02-2.26
Zn  0.0320  0.3982  0.1233  6 O 2.02-2.26
Zn  0.5745  0.6049  0.8798  6 O 2.06-2.22
Zn  0.4255  0.3951  0.1202  6 O 2.06-2.22
Zn  0.0760  0.8832  0.6119  6 O 2.08-2.19
Zn  0.9240  0.1168  0.3881  6 O 2.08-2.19
Zn  0.4764  0.8601  0.6062  5 O 2.01-2.24
Zn  0.5236  0.1399  0.3938  5 O 2.01-2.24
Zn  0.1797  0.6026  0.5011  4 O 1.94-2.02
Zn  0.8203  0.3974  0.4989  4 O 1.94-2.02
Zn  0.3667  0.6679  0.2468  4 O 1.97-2.10
Zn  0.6333  0.3321  0.7532  4 O 1.97-2.10
P  0.7879  0.3009  0.9753  4 O 1.56-1.57
P  0.2121  0.6991  0.0247  4 O 1.56-1.57
P  0.3174  0.5636  0.7163  4 O 1.54-1.57
P  0.6826  0.4364  0.2837  4 O 1.54-1.57
P  0.8248  0.6404  0.6344  4 O 1.54-1.57
P  0.1752  0.3596  0.3656  4 O 1.54-1.57
P  0.7112  0.0818  0.6293  4 O 1.55-1.57
P  0.2888  0.9182  0.3707  4 O 1.55-1.57
H  0.0726  0.8547  0.8404  1 O 1.02
H  0.9274  0.1453  0.1596  1 O 1.02
H  0.8878  0.8969  0.7890  1 O 1.01
H  0.1122  0.1031  0.2110  1 O 1.01
H  0.7394  0.7685  0.9840  1 O 1.00
H  0.2606  0.2315  0.0160  1 O 1.00
H  0.7521  0.5983  0.0569  1 O 1.01
H  0.2479  0.4017  0.9431  1 O 1.01
H  0.1861  0.0980  0.6783  1 O 1.00
H  0.8139  0.9020  0.3217  1 O 1.00
H  0.2437  0.1148  0.5488  1 O 1.00
H  0.7563  0.8852  0.4512  1 O 1.00
H  0.5678  0.8921  0.7894  1 O 1.03
H  0.4322  0.1079  0.2106  1 O 1.03
H  0.3796  0.8445  0.8385  1 O 1.02
H  0.6204  0.1555  0.1615  1 O 1.02
H  0.5691  0.8643  0.0958  1 O 0.99
H  0.4309  0.1357  0.9042  1 O 0.99
H  0.6593  0.7847  0.2051  1 O 0.99
H  0.3407  0.2153  0.7949  1 O 0.99
H  0.1695  0.3303  0.6990  1 O 0.99
H  0.8305  0.6697  0.3010  1 O 0.99
H  0.0330  0.2479  0.7873  1 O 0.99
H  0.9670  0.7521  0.2127  1 O 0.99
H  0.7567  0.0165  0.0131  1 O 0.99
H  0.2433  0.9835  0.9869  1 O 0.99
H  0.7032  0.9993  0.8986  1 O 0.99
H  0.2968  0.0007  0.1014  1 O 0.99
O  0.9308  0.3853  0.9772  1 P 1.56
O  0.0692  0.6147  0.0228  1 P 1.56
O  0.7915  0.1567  0.0764  1 P 1.56, 2 H 1.60-1.66
O  0.2085  0.8433  0.9236  1 P 1.56, 2 H 1.60-1.66
O  0.6217  0.3970  0.9877  1 P 1.57
O  0.3783  0.6030  0.0123  1 P 1.57
O  0.8050  0.2654  0.8590  1 P 1.56
O  0.1950  0.7346  0.1410  1 P 1.56
O  0.1943  0.5277  0.8226  1 P 1.54, 1 H 1.67
O  0.8057  0.4723  0.1774  1 P 1.54, 1 H 1.67
O  0.2955  0.4780  0.6324  1 P 1.56
O  0.7045  0.5220  0.3676  1 P 1.56
O  0.2972  0.7316  0.6519  1 P 1.57
O  0.7028  0.2684  0.3481  1 P 1.57
O  0.4929  0.5192  0.7565  1 P 1.57
O  0.5071  0.4808  0.2435  1 P 1.57
O  0.6928  0.7529  0.5702  1 P 1.54, 1 H 1.71
O  0.3072  0.2471  0.4298  1 P 1.54, 1 H 1.71
O  0.8294  0.4872  0.6185  1 P 1.55
O  0.1706  0.5128  0.3815  1 P 1.55
O  0.7981  0.6244  0.7654  1 P 1.56
O  0.2019  0.3756  0.2346  1 P 1.56
O  0.9940  0.6965  0.5859  1 P 1.57
O  0.0060  0.3035  0.4141  1 P 1.57
O  0.7090  0.9883  0.7562  1 P 1.55, 2 H 1.55-1.65
O  0.2910  0.0117  0.2438  1 P 1.55, 2 H 1.55-1.65
O  0.8754  0.0420  0.5649  1 P 1.55
O  0.1246  0.9580  0.4351  1 P 1.55
O  0.5689  0.0564  0.5715  1 P 1.55
O  0.4311  0.9436  0.4285  1 P 1.55
O  0.6965  0.2488  0.6200  1 P 1.57
O  0.3035  0.7512  0.3800  1 P 1.57
O  0.9965  0.8344  0.7900  2 H 1.01-1.02
O  0.0035  0.1656  0.2100  2 H 1.01-1.02
O  0.7397  0.6683  0.9777  2 H 1.00-1.01
O  0.2603  0.3317  0.0223  2 H 1.00-1.01
O  0.2209  0.0387  0.6237  2 H 1.00
O  0.7791  0.9613  0.3763  2 H 1.00
O  0.4866  0.8208  0.7943  2 H 1.02-1.03
O  0.5134  0.1792  0.2057  2 H 1.02-1.03
O  0.5510  0.8022  0.1759  2 H 0.99
O  0.4490  0.1978  0.8241  2 H 0.99
O  0.1416  0.2326  0.7468  2 H 0.99
O  0.8584  0.7674  0.2532  2 H 0.99
O  0.7084  0.9511  0.9817  2 H 0.99
O  0.2916  0.0489  0.0183  2 H 0.99

- Total DFT energy (no corrections): -5.586 eV per atom
- Magnetic moment: 0.00 μB per cell
- Space group: P-1

Record 5
The following is a PBE calculation of crystalline ZnP2HO at its relaxed geometry, from Alexandria via LeMat-Bulk.

Unit cell a=3.2419 b=3.2419 c=6.7818 alpha=90.00 beta=90.00 gamma=90.00
Last column: nearest neighbours and their distance in Å.
Fractional positions:
P  0.0000  0.5000  0.0000  2 H 1.62
P  0.5000  0.0000  0.0000  2 H 1.62
Zn  0.5000  0.5000  0.5000  4 O 2.29
O  0.0000  0.0000  0.5000  4 Zn 2.29
H  0.0000  0.0000  0.0000  4 P 1.62

- Total DFT energy (no corrections): -3.610 eV per atom
- E above lowest polymorph: 0.0 meV/atom
- Magnetic moment: 0.00 μB per cell
- Space group: P4/mmm

Record 6
The following is a PBE calculation of crystalline Zn2PHO5 at its relaxed geometry, from Alexandria via LeMat-Bulk.

Unit cell a=5.6119 b=5.7659 c=6.6025 alpha=77.26 beta=78.16 gamma=87.31
Last column: nearest neighbours and their distance in Å.
Fractional positions:
Zn  0.3867  0.2478  0.5084  5 O 1.99-2.20
Zn  0.6133  0.7522  0.4916  5 O 1.99-2.20
Zn  0.0306  0.7379  0.8103  5 O 2.00-2.23
Zn  0.9694  0.2621  0.1897  5 O 2.00-2.23
P  0.8396  0.2494  0.7231  4 O 1.55-1.56
P  0.1604  0.7506  0.2769  4 O 1.55-1.56
H  0.4426  0.9021  0.8199  1 O 0.98
H  0.5574  0.0979  0.1801  1 O 0.98
O  0.7785  0.9916  0.8464  1 P 1.55
O  0.2215  0.0084  0.1536  1 P 1.55
O  0.9443  0.3865  0.8650  1 P 1.56
O  0.0557  0.6135  0.1350  1 P 1.56
O  0.6040  0.3786  0.6648  1 P 1.56
O  0.3960  0.6214  0.3352  1 P 1.56
O  0.9686  0.7510  0.4851  1 P 1.56
O  0.0314  0.2490  0.5149  1 P 1.56
O  0.3636  0.8858  0.7037  1 H 0.98
O  0.6364  0.1142  0.2963  1 H 0.98

- Total DFT energy (no corrections): -5.750 eV per atom
- E above lowest polymorph: 0.0 meV/atom
- Magnetic moment: 0.00 μB per cell
- Space group: P-1